1.
Here is a relaxed CaS2Cl crystal from Alexandria. Energies are from PBE.

## Properties
Calculated total energy = -3.342 eV/atom
Formation energy from raw total energies = -30 kJ/mol of atoms
SG = No. 122

Cell lengths 5.352, 5.352, 8.660 Å; angles 72.00, 72.00, 90.00 degrees
Fractional positions:
1 S 0.875 0.844 0.750
2 S 0.594 0.125 0.250
3 Ca 0.000 0.000 0.000
4 Cl 0.250 0.750 0.500
5 Ca 0.750 0.250 0.500
6 S 0.156 0.625 0.250
7 S 0.375 0.406 0.750
8 Cl 0.500 0.500 0.000

=====

2.
Here is a relaxed CdCo2Si crystal from Alexandria. Energies are from PBE.

## Properties
Calculated total energy = -5.092 eV/atom
Formation energy from raw total energies = 4 kJ/mol of atoms
SG = No. 12

Cell lengths 3.775, 3.775, 5.922 Å; angles 80.72, 80.72, 42.99 degrees
Fractional positions:
1 Cd 0.750 0.750 0.750
2 Co 0.989 0.989 0.069
3 Co 0.511 0.511 0.431
4 Si 0.250 0.250 0.250

=====

3.
Here is a relaxed Tm8MgTc2 crystal from Alexandria. Energies are from PBE.

## Properties
Calculated total energy = -5.314 eV/atom
SG = No. 1

Cell lengths 5.288, 6.842, 8.887 Å; angles 112.58, 107.33, 90.03 degrees
Fractional positions:
1 Tc 0.800 0.618 0.238
2 Tm 0.344 0.862 0.326
3 Tm 0.968 0.015 0.572
4 Tc 0.471 0.288 0.579
5 Mg 0.137 0.968 0.909
6 Tm 0.525 0.710 0.687
7 Tm 0.305 0.353 0.246
8 Tm 0.137 0.536 0.909
9 Tm 0.928 0.446 0.493
10 Tm 0.748 0.933 0.132
11 Tm 0.637 0.270 0.909

=====

4.
Here is a relaxed Tb3Zn4Cd2 crystal from Alexandria. Energies are from PBE.

## Properties
Calculated total energy = -2.647 eV/atom
SG = No. 12

Cell lengths 4.671, 5.830, 8.780 Å; angles 113.44, 90.00, 113.62 degrees
Fractional positions:
1 Tb 0.337 0.674 0.327
2 Zn 0.056 0.112 0.396
3 Cd 0.618 0.237 0.284
4 Zn 0.728 0.456 0.053
5 Cd 0.382 0.763 0.716
6 Tb 0.000 0.000 0.000
7 Zn 0.272 0.544 0.947
8 Tb 0.663 0.326 0.673
9 Zn 0.944 0.888 0.604

=====

5.
Here is a relaxed CeYThCd crystal from Alexandria. Energies are from PBE.

## Properties
Calculated total energy = -5.092 eV/atom
SG = No. 216

Cell lengths 5.463, 5.463, 5.463 Å; angles 60.00, 60.00, 60.00 degrees
Fractional positions:
1 Th 0.000 0.000 0.000
2 Ce 0.250 0.250 0.250
3 Y 0.750 0.750 0.750
4 Cd 0.500 0.500 0.500

=====

6.
Here is a relaxed LaYHgSb crystal from Alexandria. Energies are from PBE.

## Properties
Calculated total energy = -4.637 eV/atom
Formation energy from raw total energies = -66 kJ/mol of atoms
SG = No. 216

Cell lengths 5.427, 5.427, 5.427 Å; angles 60.00, 60.00, 60.00 degrees
Fractional positions:
1 La 0.750 0.750 0.750
2 Y 0.250 0.250 0.250
3 Hg 0.000 0.000 0.000
4 Sb 0.500 0.500 0.500

=====

7.
Here is a relaxed Tm2Al2Ag3 crystal from Alexandria. Energies are from PBE.

## Properties
Calculated total energy = -3.822 eV/atom
SG = No. 65

Cell lengths 3.358, 4.367, 10.062 Å; angles 102.53, 90.00, 90.00 degrees
Fractional positions:
1 Ag 0.500 0.571 0.143
2 Tm 0.000 0.152 0.305
3 Ag 0.500 0.429 0.857
4 Al 0.500 0.285 0.570
5 Al 0.500 0.715 0.430
6 Ag 0.000 0.000 0.000
7 Tm 0.000 0.848 0.695

=====

8.
Here is a relaxed BaSrPrSbO6 crystal from Alexandria. Energies are from PBE.

## Properties
Calculated total energy = -6.762 eV/atom
Formation energy from raw total energies = -245 kJ/mol of atoms
SG = No. 216

Cell lengths 6.121, 6.121, 6.121 Å; angles 60.00, 60.00, 60.00 degrees
Fractional positions:
1 O 0.268 0.732 0.732
2 O 0.268 0.732 0.268
3 O 0.732 0.732 0.268
4 O 0.732 0.268 0.732
5 Ba 0.750 0.750 0.750
6 O 0.268 0.268 0.732
7 Sb 0.500 0.500 0.500
8 Pr 0.000 0.000 0.000
9 Sr 0.250 0.250 0.250
10 O 0.732 0.268 0.268

=====

9.
Here is a relaxed Sm2ErTl3Se6 crystal from Alexandria. Energies are from PBE.

## Properties
Calculated total energy = -4.882 eV/atom
Formation energy from raw total energies = -133 kJ/mol of atoms
SG = No. 12

Cell lengths 7.333, 7.333, 8.142 Å; angles 98.63, 98.63, 119.99 degrees
Fractional positions:
1 Se 0.605 0.931 0.794
2 Se 0.931 0.605 0.794
3 Se 0.395 0.069 0.206
4 Sm 0.333 0.667 0.000
5 Tl 0.832 0.168 0.500
6 Se 0.069 0.395 0.206
7 Tl 0.168 0.832 0.500
8 Se 0.743 0.743 0.208
9 Er 0.000 0.000 0.000
10 Se 0.257 0.257 0.792
11 Tl 0.500 0.500 0.500
12 Sm 0.667 0.333 0.000

=====

10.
Here is a relaxed TcOsRh crystal from Alexandria. Energies are from PBE.

## Properties
Calculated total energy = -9.662 eV/atom
SG = No. 62

Cell lengths 3.871, 5.432, 8.188 Å; angles 90.00, 90.00, 90.00 degrees
Fractional positions:
1 Os 0.750 0.880 0.260
2 Rh 0.750 0.875 0.914
3 Tc 0.750 0.382 0.916
4 Os 0.250 0.120 0.740
5 Tc 0.250 0.118 0.416
6 Rh 0.250 0.125 0.086
7 Tc 0.250 0.618 0.084
8 Os 0.750 0.380 0.240
9 Os 0.250 0.620 0.760
10 Rh 0.250 0.625 0.414
11 Rh 0.750 0.375 0.586
12 Tc 0.750 0.882 0.584

=====

11.
Here is a relaxed SrOsF2 crystal from Alexandria. Energies are from PBE.

## Properties
Calculated total energy = -4.878 eV/atom
Formation energy from raw total energies = -69 kJ/mol of atoms
SG = No. 225

Cell lengths 4.636, 4.636, 4.636 Å; angles 60.00, 60.00, 60.00 degrees
Fractional positions:
1 F 0.750 0.750 0.750
2 F 0.250 0.250 0.250
3 Os 0.500 0.500 0.500
4 Sr 0.000 0.000 0.000

=====

12.
Here is a relaxed Pu3NiAs2 crystal from Alexandria. Energies are from PBE.

## Properties
Calculated total energy = -10.336 eV/atom
SG = No. 62

Cell lengths 4.070, 10.863, 11.707 Å; angles 90.00, 90.00, 90.00 degrees
Fractional positions:
1 Pu 0.750 0.556 0.616
2 As 0.750 0.300 0.517
3 Pu 0.250 0.394 0.052
4 Ni 0.250 0.360 0.625
5 As 0.250 0.012 0.298
6 As 0.250 0.800 0.983
7 Pu 0.250 0.106 0.552
8 Pu 0.750 0.944 0.116
9 Pu 0.250 0.727 0.224
10 Ni 0.750 0.640 0.375
11 Pu 0.750 0.273 0.776
12 Ni 0.750 0.860 0.875
13 As 0.750 0.512 0.202
14 Pu 0.750 0.894 0.448
15 Pu 0.250 0.444 0.384
16 As 0.250 0.488 0.798
17 Pu 0.750 0.227 0.276
18 Ni 0.250 0.140 0.125
19 Pu 0.750 0.606 0.948
20 Pu 0.250 0.056 0.884
21 Pu 0.250 0.773 0.724
22 As 0.750 0.988 0.702
23 As 0.750 0.200 0.017
24 As 0.250 0.700 0.483